The following is a DFT calculation (PBE+U) of a geometry-optimized Pr3CoCu2O9 structure. Values from VASP.

Structure (Quantum ESPRESSO input):
```
&SYSTEM
  ibrav = 0, nat = 15, ntyp = 4
/
ATOMIC_SPECIES
Pr 140.91 Pr.upf
Co 58.93 Co.upf
Cu 63.55 Cu.upf
O 16.00 O.upf
CELL_PARAMETERS angstrom
-3.329 2.978 3.072
1.968 -4.684 1.890
5.232 3.224 2.544
ATOMIC_POSITIONS angstrom
Pr 3.639 -0.013 3.955
Pr 0.000 0.000 0.000
Pr 0.232 1.530 3.551
Co 2.616 1.612 1.272
Cu 1.063 -1.600 2.702
Cu 2.808 3.117 4.804
O 1.008 3.849 4.562
O 2.003 1.481 5.516
O 2.691 2.344 3.009
O 1.180 -0.827 4.497
O 1.868 0.036 1.989
O 2.863 -2.332 2.944
O -1.664 1.489 1.536
O 0.984 -2.342 0.945
O -0.680 -0.853 2.481
```

Total moment = 0.3 μB/f.u.
Theoretical density = 7.38 g/cm³
DFT total energy = -101.22 eV for the cell shown